The following is a PBE calculation of a relaxed CrHg3 crystal, from Alexandria.

- E_tot (hartree per atom) = -0.086
- N(E_F) (states/eV/f.u.) = 1.52

Lattice parameters (Å, degrees): 7.401 9.075 5.541 90.00 90.00 90.00
Space group Pnma (No. 62)
Asymmetric unit:
Cr (0.133, 0.250, 0.090) [4 per cell]
Hg (0.001, 0.250, 0.602) [4 per cell]
Hg (0.169, 0.542, 0.861) [8 per cell]

---

The following is a PBE calculation of a relaxed Cs2ZrInI6 crystal, from Alexandria.

- offset from the most stable computed form (eV per atom) = 0.000
- E_tot (hartree per atom) = -0.120
- formation energy from raw total energies (eV per atom) = -1.041
- N(E_F) (states/eV/f.u.) = 6.62

Lattice parameters (Å, degrees): 8.5445 8.5445 48.6622 90.00 90.00 120.00
Space group R-3m (No. 166, hexagonal axes)
Asymmetric unit:
Cs (0.0000, 0.0000, 0.1352) [6 per cell]
Cs (0.0000, 0.0000, 0.3054) [6 per cell]
Zr (0.0000, 0.0000, 0.0000) [3 per cell]
Zr (0.0000, 0.0000, 0.5000) [3 per cell]
In (0.0000, 0.0000, 0.4180) [6 per cell]
I (0.0043, 0.5021, 0.1319) [18 per cell]
I (0.0122, 0.5061, 0.7019) [18 per cell]

---

The following is a PBE calculation of a relaxed OsRh2Br crystal, from Alexandria.

- offset from the most stable computed form (eV per atom) = 0.432
- E_tot (hartree per atom) = -0.220
- formation energy from raw total energies (eV per atom) = 0.903
- N(E_F) (states/eV/f.u.) = 2.11

Lattice parameters (Å, degrees): 6.236 6.236 9.032 90.00 90.00 90.00
Space group I-42d (No. 122)
Asymmetric unit:
Os (0.000, 0.000, 0.000) [4 per cell]
Rh (0.221, 0.250, 0.125) [8 per cell]
Br (0.000, 0.000, 0.500) [4 per cell]

---

N(E_F) of number 3 (OsRh2Br)? 2.11 states/eV/f.u.

---

What is the formula in the first record? CrHg3

---

What is the E_tot in the second record? -0.120 hartree per atom

---

Which value of N(E_F) does entry 1 give? 1.52 states/eV/f.u.